1.
Density functional theory data (PBE) for a geometry-optimized CrCu structure.

a b c (Å): 4.6221 4.6221 4.6221
angles (deg): 31.30 31.30 31.30
With the nearest neighbours (Å) after each atom.
Fractional coordinates of all 2 atoms:
Cr1 0.0000 0.0000 0.0000  6 Cr 2.49, 6 Cu 2.63
Cu1 0.5000 0.5000 0.5000  6 Cu 2.49, 6 Cr 2.63

Values from the calculation:
Crystal system ... trigonal
N(E_F) ... 1.9 states/eV/cell

***

2.
Density functional theory data (PBE) for a geometry-optimized CrCu structure.

a b c (Å): 3.9934 3.9934 4.7582
angles (deg): 90.00 90.00 120.00
With the nearest neighbours (Å) after each atom.
Fractional coordinates of all 4 atoms:
Cu1 0.0000 0.0000 0.0000  2 Cu 2.38, 6 Cr 2.59
Cu2 0.0000 0.0000 0.5000  2 Cu 2.38, 6 Cr 2.59
Cr1 0.3333 0.6667 0.2500  6 Cu 2.59
Cr2 0.6667 0.3333 0.7500  6 Cu 2.59

Values from the calculation:
Crystal system ... hexagonal
N(E_F) ... 5.2 states/eV/cell

***

3.
Density functional theory data (PBE) for a geometry-optimized Cr3Cu structure.

a b c (Å): 2.4321 2.4321 8.2449
angles (deg): 90.00 90.00 106.80
With the nearest neighbours (Å) after each atom.
Fractional coordinates of all 4 atoms:
Cr1 0.0000 0.0000 0.9940  6 Cr 2.43-2.48, 2 Cu 2.56
Cr2 0.0000 0.0000 0.5060  6 Cr 2.43-2.48, 2 Cu 2.56
Cr3 0.5000 0.5000 0.7500  8 Cr 2.43-2.48
Cu1 0.5000 0.5000 0.2500  4 Cu 2.43, 4 Cr 2.56

Values from the calculation:
Crystal system ... orthorhombic
N(E_F) ... 3.5 states/eV/cell

***

| no. | DFT formation energy (kJ per mole of atoms) | calculated total energy (eV/atom) | volume (A^3/atom) |
| --- | --- | --- | --- |
| 1 | 32.6 | -6.522 | 11.83 |
| 2 | 80.0 | -6.031 | 16.43 |
| 3 | 14.6 | -8.090 | 11.67 |